Compound: Ta4MnRh
Source: Alexandria
Functional: GGA-PBEsol
Structure: relaxed

Cell: 5.2795 5.2795 5.2795 Å, 60.00 60.00 60.00°
Last column: magnetic moment on the atom in μB.
Positions (direct):
Ta 0.3753 0.3753 0.3753  -0.05
Ta 0.3753 0.3753 0.8742  -0.05
Ta 0.3753 0.8742 0.3753  -0.05
Ta 0.8742 0.3753 0.3753  -0.05
Rh 0.0000 0.0000 0.0000  0.14
Mn 0.7500 0.7500 0.7500  3.48

Computed properties:
- Space-group type: F-43m, No. 216
- Total moment: 3.43 μB per formula unit
- V: 104.1 Å³ per cell
- Crystal system: cubic
- Calculated formation energy: 474.8 meV per atom
- Electronic total energy: -10.876 eV/atom